# 1
A relaxed structure of TaHg2Ru, computed with PBE.

```
data_TaHg2Ru
_chemical_formula_sum 'Ta1 Hg2 Ru1'
_cell_length_a 2.9491
_cell_length_b 2.9491
_cell_length_c 8.4038
_cell_angle_alpha 90.00
_cell_angle_beta 90.00
_cell_angle_gamma 90.00
_space_group_name_H-M_alt 'P 4/m m m'
_space_group_IT_number 123
_space_group_name_Hall '-P 4 2'
loop_
_atom_site_label
_atom_site_type_symbol
_atom_site_fract_x
_atom_site_fract_y
_atom_site_fract_z
Ta1 Ta 0.0000 0.0000 0.0000
Hg1 Hg 0.5000 0.5000 0.2614
Ru1 Ru 0.0000 0.0000 0.5000
```

Values from the calculation:
relative energy among the computed polymorphs	0.429	eV/atom
formation energy	0.5609	eV/atom
total magnetization	1.251	μB per cell
calculated total energy	-4.87	eV per atom

---

# 2
A relaxed structure of Ta3HgRu, computed with PBE.

```
data_Ta3HgRu
_chemical_formula_sum 'Ta3 Hg1 Ru1'
_cell_length_a 4.9318
_cell_length_b 4.9318
_cell_length_c 4.9318
_cell_angle_alpha 90.00
_cell_angle_beta 90.00
_cell_angle_gamma 90.00
_space_group_name_H-M_alt 'P m -3 m'
_space_group_IT_number 221
_space_group_name_Hall '-P 4 2 3'
loop_
_atom_site_label
_atom_site_type_symbol
_atom_site_fract_x
_atom_site_fract_y
_atom_site_fract_z
Ta1 Ta 0.0000 0.0000 0.5000
Hg1 Hg 0.0000 0.0000 0.0000
Ru1 Ru 0.5000 0.5000 0.5000
```

Values from the calculation:
relative energy among the computed polymorphs	1.527	eV/atom
formation energy	2.5585	eV/atom
total magnetization	0.001	μB per cell
calculated total energy	-6.47	eV per atom

---

# 3
A relaxed structure of TaHg2Ru, computed with PBE.

```
data_TaHg2Ru
_chemical_formula_sum 'Ta2 Hg4 Ru2'
_cell_length_a 3.1985
_cell_length_b 4.6829
_cell_length_c 9.8568
_cell_angle_alpha 90.00
_cell_angle_beta 90.00
_cell_angle_gamma 90.00
_space_group_name_H-M_alt 'I m m m'
_space_group_IT_number 71
_space_group_name_Hall '-I 2 2'
loop_
_atom_site_label
_atom_site_type_symbol
_atom_site_fract_x
_atom_site_fract_y
_atom_site_fract_z
Ta1 Ta 0.0000 0.0000 0.0000
Hg1 Hg 0.0000 0.5000 0.2411
Ru1 Ru 0.0000 0.0000 0.5000
```

Values from the calculation:
relative energy among the computed polymorphs	0.337	eV/atom
formation energy	0.4691	eV/atom
total magnetization	0.001	μB per cell
calculated total energy	-4.96	eV per atom

---

# 4
A relaxed structure of TaHg2Ru, computed with PBE.

```
data_TaHg2Ru
_chemical_formula_sum 'Ta1 Hg2 Ru1'
_cell_length_a 3.0057
_cell_length_b 4.3176
_cell_length_c 5.6003
_cell_angle_alpha 90.00
_cell_angle_beta 90.00
_cell_angle_gamma 90.00
_space_group_name_H-M_alt 'P m m m'
_space_group_IT_number 47
loop_
_space_group_symop_operation_xyz
'x,y,z'
'-x,-y,-z'
'-x,-y,z'
'x,y,-z'
'x,-y,-z'
'-x,y,z'
'-x,y,-z'
'x,-y,z'
loop_
_atom_site_label
_atom_site_type_symbol
_atom_site_fract_x
_atom_site_fract_y
_atom_site_fract_z
Ta1 Ta 0.0000 0.0000 0.0000
Hg1 Hg 0.5000 0.5000 0.2545
Ru1 Ru 0.0000 0.0000 0.5000
```

Values from the calculation:
relative energy among the computed polymorphs	0.375	eV/atom
formation energy	0.5077	eV/atom
total magnetization	0.000	μB per cell
calculated total energy	-4.93	eV per atom

---

# 5
A relaxed structure of TaHg2Ru, computed with PBE.

```
data_TaHg2Ru
_chemical_formula_sum 'Ta4 Hg8 Ru4'
_cell_length_a 7.6490
_cell_length_b 7.6490
_cell_length_c 5.4608
_cell_angle_alpha 90.00
_cell_angle_beta 90.00
_cell_angle_gamma 90.00
_space_group_name_H-M_alt 'I -4 2 d'
_space_group_IT_number 122
_space_group_name_Hall 'I -4 2bw'
loop_
_atom_site_label
_atom_site_type_symbol
_atom_site_fract_x
_atom_site_fract_y
_atom_site_fract_z
Ta1 Ta 0.0000 0.0000 0.0000
Hg1 Hg 0.2402 0.2500 0.6250
Ru1 Ru 0.0000 0.0000 0.5000
```

Values from the calculation:
relative energy among the computed polymorphs	0.778	eV/atom
formation energy	0.9099	eV/atom
total magnetization	0.000	μB per cell
calculated total energy	-4.52	eV per atom

---

# 6
A relaxed structure of TaHg2Ru, computed with PBE.

```
data_TaHg2Ru
_chemical_formula_sum 'Ta3 Hg6 Ru3'
_cell_length_a 3.1888
_cell_length_b 3.1888
_cell_length_c 27.9150
_cell_angle_alpha 90.00
_cell_angle_beta 90.00
_cell_angle_gamma 120.00
_space_group_name_H-M_alt 'R 3 m'
_space_group_IT_number 160
_space_group_name_Hall 'R 3 -2"'
loop_
_atom_site_label
_atom_site_type_symbol
_atom_site_fract_x
_atom_site_fract_y
_atom_site_fract_z
Ta1 Ta 0.0000 0.0000 0.0000
Hg1 Hg 0.0000 0.0000 0.5197
Hg2 Hg 0.0000 0.0000 0.7546
Ru1 Ru 0.0000 0.0000 0.2733
```

Values from the calculation:
relative energy among the computed polymorphs	0.069	eV/atom
formation energy	0.2012	eV/atom
total magnetization	0.000	μB per cell
calculated total energy	-5.23	eV per atom